Entry 1:
This record from the Alexandria database describes a relaxed structure of Pm4CdAgRu2. The functional is PBE-GGA.

Results
ΔE_f (eV per atom): -0.208
E (eV/atom): -5.373

```
data_Pm4CdAgRu2
_chemical_formula_sum 'Pm12 Cd3 Ag3 Ru6'
_cell_length_a 5.1069
_cell_length_b 5.1069
_cell_length_c 25.2977
_cell_angle_alpha 90.00
_cell_angle_beta 90.00
_cell_angle_gamma 120.00
_space_group_name_H-M_alt 'R -3 m'
_space_group_IT_number 166
_space_group_name_Hall '-R 3 2"'
loop_
_atom_site_label
_atom_site_type_symbol
_atom_site_fract_x
_atom_site_fract_y
_atom_site_fract_z
Pm1 Pm 0.0000 0.0000 0.1225
Pm2 Pm 0.0000 0.0000 0.3739
Cd1 Cd 0.0000 0.0000 0.5000
Ag1 Ag 0.0000 0.0000 0.0000
Ru1 Ru 0.0000 0.0000 0.2489
```

***

Entry 2:
This record from the Alexandria database describes a relaxed structure of Pm4CdAg2Ru. The functional is PBE-GGA.

Results
ΔE_f (eV per atom): -0.289
E (eV/atom): -4.651

```
data_Pm4CdAg2Ru
_chemical_formula_sum 'Pm12 Cd3 Ag6 Ru3'
_cell_length_a 5.2545
_cell_length_b 5.2545
_cell_length_c 25.3179
_cell_angle_alpha 90.00
_cell_angle_beta 90.00
_cell_angle_gamma 120.00
_space_group_name_H-M_alt 'R -3 m'
_space_group_IT_number 166
_space_group_name_Hall '-R 3 2"'
loop_
_atom_site_label
_atom_site_type_symbol
_atom_site_fract_x
_atom_site_fract_y
_atom_site_fract_z
Pm1 Pm 0.0000 0.0000 0.1139
Pm2 Pm 0.0000 0.0000 0.3665
Cd1 Cd 0.0000 0.0000 0.5000
Ag1 Ag 0.0000 0.0000 0.2404
Ru1 Ru 0.0000 0.0000 0.0000
```

***

Entry 3:
This record from the Alexandria database describes a relaxed structure of PmCdAgSb. The functional is PBE-GGA.

Results
E_form (uncorrected) (eV per formula unit): -1.16
E (eV/atom): -3.450

```
data_PmCdAgSb
_chemical_formula_sum 'Pm4 Cd4 Ag4 Sb4'
_cell_length_a 7.385
_cell_length_b 7.385
_cell_length_c 7.385
_cell_angle_alpha 90.00
_cell_angle_beta 90.00
_cell_angle_gamma 90.00
_space_group_name_H-M_alt 'F -4 3 m'
_space_group_IT_number 216
_space_group_name_Hall 'F -4 2 3'
loop_
_atom_site_label
_atom_site_type_symbol
_atom_site_fract_x
_atom_site_fract_y
_atom_site_fract_z
Pm1 Pm 0.000 0.000 0.000
Cd1 Cd 0.000 0.000 0.500
Ag1 Ag 0.250 0.250 0.250
Sb1 Sb 0.250 0.250 0.750
```

***

Entry 4:
This record from the Alexandria database describes a relaxed structure of PmScCdAg. The functional is PBE-GGA.

Results
ΔE_f (eV per atom): -0.247
Relative energy among the computed polymorphs (eV/atom): 0.0225
E (eV/atom): -3.959

```
data_PmScCdAg
_chemical_formula_sum 'Pm4 Sc4 Cd4 Ag4'
_cell_length_a 7.293
_cell_length_b 7.293
_cell_length_c 7.293
_cell_angle_alpha 90.00
_cell_angle_beta 90.00
_cell_angle_gamma 90.00
_space_group_name_H-M_alt 'F -4 3 m'
_space_group_IT_number 216
_space_group_name_Hall 'F -4 2 3'
loop_
_atom_site_label
_atom_site_type_symbol
_atom_site_fract_x
_atom_site_fract_y
_atom_site_fract_z
Pm1 Pm 0.000 0.000 0.000
Sc1 Sc 0.000 0.000 0.500
Cd1 Cd 0.250 0.250 0.750
Ag1 Ag 0.250 0.250 0.250
```

***

Entry 5:
This record from the Alexandria database describes a relaxed structure of PmScCdAg. The functional is PBE-GGA.

Results
ΔE_f (eV per atom): -0.269
Relative energy among the computed polymorphs (eV/atom): 0.0000
E (eV/atom): -3.981

```
data_PmScCdAg
_chemical_formula_sum 'Pm1 Sc1 Cd1 Ag1'
_cell_length_a 3.545
_cell_length_b 3.545
_cell_length_c 7.620
_cell_angle_alpha 90.00
_cell_angle_beta 90.00
_cell_angle_gamma 90.00
_space_group_name_H-M_alt 'P 4 m m'
_space_group_IT_number 99
_space_group_name_Hall 'P 4 -2'
loop_
_atom_site_label
_atom_site_type_symbol
_atom_site_fract_x
_atom_site_fract_y
_atom_site_fract_z
Pm1 Pm 0.000 0.000 0.000
Sc1 Sc 0.000 0.000 0.477
Cd1 Cd 0.500 0.500 0.711
Ag1 Ag 0.500 0.500 0.278
```

***

Entry 6:
This record from the Alexandria database describes a relaxed structure of PmCdAgSn. The functional is PBE-GGA.

Results
ΔE_f (eV per atom): -0.318
E (eV/atom): -3.448

```
data_PmCdAgSn
_chemical_formula_sum 'Pm4 Cd4 Ag4 Sn4'
_cell_length_a 7.285
_cell_length_b 7.285
_cell_length_c 7.285
_cell_angle_alpha 90.00
_cell_angle_beta 90.00
_cell_angle_gamma 90.00
_space_group_name_H-M_alt 'F -4 3 m'
_space_group_IT_number 216
_space_group_name_Hall 'F -4 2 3'
loop_
_atom_site_label
_atom_site_type_symbol
_atom_site_fract_x
_atom_site_fract_y
_atom_site_fract_z
Pm1 Pm 0.000 0.000 0.000
Cd1 Cd 0.000 0.000 0.500
Ag1 Ag 0.250 0.250 0.250
Sn1 Sn 0.250 0.250 0.750
```

***

Entry 7:
This record from the Alexandria database describes a relaxed structure of SrPmCdAg. The functional is PBE-GGA.

Results
ΔE_f (eV per atom): -0.246
Relative energy among the computed polymorphs (eV/atom): 0.0478
E (eV/atom): -2.795

```
data_SrPmCdAg
_chemical_formula_sum 'Sr4 Pm4 Cd4 Ag4'
_cell_length_a 7.740
_cell_length_b 7.740
_cell_length_c 7.740
_cell_angle_alpha 90.00
_cell_angle_beta 90.00
_cell_angle_gamma 90.00
_space_group_name_H-M_alt 'F -4 3 m'
_space_group_IT_number 216
_space_group_name_Hall 'F -4 2 3'
loop_
_atom_site_label
_atom_site_type_symbol
_atom_site_fract_x
_atom_site_fract_y
_atom_site_fract_z
Sr1 Sr 0.000 0.000 0.000
Pm1 Pm 0.000 0.000 0.500
Cd1 Cd 0.250 0.250 0.250
Ag1 Ag 0.250 0.250 0.750
```

***

Entry 8:
This record from the Alexandria database describes a relaxed structure of SrPmCdAg. The functional is PBE-GGA.

Results
ΔE_f (eV per atom): -0.293
Relative energy among the computed polymorphs (eV/atom): 0.0000
E (eV/atom): -2.843

```
data_SrPmCdAg
_chemical_formula_sum 'Sr1 Pm1 Cd1 Ag1'
_cell_length_a 3.877
_cell_length_b 3.877
_cell_length_c 7.789
_cell_angle_alpha 90.00
_cell_angle_beta 90.00
_cell_angle_gamma 90.00
_space_group_name_H-M_alt 'P 4 m m'
_space_group_IT_number 99
_space_group_name_Hall 'P 4 -2'
loop_
_atom_site_label
_atom_site_type_symbol
_atom_site_fract_x
_atom_site_fract_y
_atom_site_fract_z
Sr1 Sr 0.000 0.000 0.000
Pm1 Pm 0.000 0.000 0.484
Cd1 Cd 0.500 0.500 0.718
Ag1 Ag 0.500 0.500 0.274
```

***

> The lowest E belongs to which entry?

Pm4CdAgRu2

***

> Which of these has the lowest E?

Pm4CdAgRu2

***

> Number 2 is which compound?

Pm4CdAg2Ru

***

> Number 8 is which compound?

SrPmCdAg